Version i
Computed, not measured: VAgP2O after structural relaxation at the PBE+U level of DFT.

a b c (Å): 4.780 4.780 3.595
angles (deg): 90.00 90.00 90.00
Fractional positions:
Ag  0.500  0.500  0.500
O  0.000  0.000  0.500
P  0.000  0.500  0.000
V  0.000  0.000  0.000
P  0.500  0.000  0.000

Version ii
Computed, not measured: VAgP2O after structural relaxation at the PBE+U level of DFT.

a b c (Å): 4.735 4.735 3.945
angles (deg): 90.00 90.00 90.00
Fractional positions:
O  0.000  0.000  0.500
V  0.500  0.500  0.500
P  0.000  0.500  0.000
Ag  0.000  0.000  0.000
P  0.500  0.000  0.000

The structure shown above that is least stable: version ii.